1.
Material: ReTe2Ir
Method: DFT, PBE
State: optimized geometry

## Properties
Polymorph energy (0 for the lowest one), kJ/mol of atoms: 38.6
Uncorrected formation energy, eV/atom: 0.621

Lattice parameters (Å, degrees): 8.3029 8.3029 8.3029 22.96 22.96 22.96
Positions (direct):
Re: 0.0000 0.0000 0.0000
Te: 0.2511 0.2511 0.2511
Te: 0.7489 0.7489 0.7489
Ir: 0.5000 0.5000 0.5000

=====

2.
Material: Tb4AlCd2Hg
Method: DFT, PBE
State: optimized geometry

## Properties
Electronic total energy, eV/atom: -3.426

Lattice parameters (Å, degrees): 9.1215 9.1215 9.1215 33.49 33.49 33.49
Positions (direct):
Tb: 0.1236 0.1236 0.1236
Tb: 0.3736 0.3736 0.3736
Tb: 0.6264 0.6264 0.6264
Tb: 0.8764 0.8764 0.8764
Al: 0.0000 0.0000 0.0000
Cd: 0.2510 0.2510 0.2510
Cd: 0.7490 0.7490 0.7490
Hg: 0.5000 0.5000 0.5000

=====

3.
Material: ScIn2Tc
Method: DFT, PBE
State: optimized geometry

## Properties
Polymorph energy (0 for the lowest one), kJ/mol of atoms: 5.3

Lattice parameters (Å, degrees): 4.7645 4.7645 4.7645 60.00 60.00 60.00
Positions (direct):
Sc: 0.0000 0.0000 0.0000
In: 0.2500 0.2500 0.2500
In: 0.7500 0.7500 0.7500
Tc: 0.5000 0.5000 0.5000

=====

4.
Material: Ti2NbH4
Method: DFT, PBE
State: optimized geometry

## Properties
Polymorph energy (0 for the lowest one), kJ/mol of atoms: 24.0

Lattice parameters (Å, degrees): 5.8563 5.8563 5.8563 145.39 145.39 49.76
Positions (direct):
Ti: 0.1570 0.1570 0.0000
Ti: 0.8430 0.8430 0.0000
Nb: 0.5000 0.5000 0.0000
H: 0.0000 0.5000 0.5000
H: 0.3257 0.3257 0.0000
H: 0.5000 0.0000 0.5000
H: 0.6743 0.6743 0.0000

=====

5.
Material: Pr2YAg2Pb2
Method: DFT, PBE
State: optimized geometry

## Properties
Electronic total energy, eV/atom: -4.415

Lattice parameters (Å, degrees): 9.3908 9.3908 9.3908 30.67 30.67 30.67
Positions (direct):
Pr: 0.1359 0.1359 0.1359
Pr: 0.8641 0.8641 0.8641
Y: 0.0000 0.0000 0.0000
Ag: 0.4326 0.4326 0.4326
Ag: 0.5674 0.5674 0.5674
Pb: 0.2714 0.2714 0.2714
Pb: 0.7286 0.7286 0.7286

=====

6.
Material: Cu2AgP
Method: DFT, PBE
State: optimized geometry

## Properties
Electronic total energy, eV/atom: -3.908

Lattice parameters (Å, degrees): 2.7341 2.7341 7.7435 90.00 90.00 90.00
Positions (direct):
Cu: 0.0000 0.0000 0.0000
Cu: 0.5000 0.5000 0.2249
Ag: 0.5000 0.5000 0.7435
P: 0.0000 0.0000 0.4348

=====

Q: Which magnetic moment values were calculated for the entries above? A: 0.000 0.000 0.000 0.000 0.000 0.000, in Bohr magnetons per cell.